Record 1
Below is crystalline InTe2Au at its relaxed geometry, with properties calculated at the PBE level.

Computed properties:
Symmetry: P4mm, No. 99
Formation energy (no corrections) (eV/atom): 0.12
Total moment (μB/atom): 0.000

Lattice parameters (Å, degrees): 3.237 3.237 10.539 90.00 90.00 90.00
Positions (direct):
Au 0.000 0.000 0.524
In 0.500 0.500 0.706
Te 0.000 0.000 0.959
Te 0.500 0.500 0.312

Record 2
Below is crystalline InTe2Au at its relaxed geometry, with properties calculated at the PBE level.

Computed properties:
Symmetry: Pm, No. 6
Formation energy (no corrections) (eV/atom): -0.16
Total moment (μB/atom): 0.000

Lattice parameters (Å, degrees): 4.447 4.789 6.366 87.69 90.00 90.00
Positions (direct):
Au 0.000 0.247 0.559
In 0.500 0.871 0.657
Te 0.000 0.917 0.934
Te 0.500 0.465 0.350

Record 3
Below is crystalline InTe3Au2 at its relaxed geometry, with properties calculated at the PBE level.

Computed properties:
Symmetry: Cc, No. 9
Formation energy (no corrections) (eV/atom): -0.17
Total moment (μB/atom): 0.000

Lattice parameters (Å, degrees): 7.870 7.870 7.836 99.73 99.73 119.72
Positions (direct):
In 0.091 0.917 0.498
In 0.917 0.091 0.998
Te 0.061 0.237 0.389
Te 0.237 0.061 0.889
Te 0.883 0.400 0.878
Te 0.400 0.883 0.378
Te 0.536 0.707 0.881
Te 0.707 0.536 0.381
Au 0.607 0.443 0.015
Au 0.759 0.255 0.509
Au 0.443 0.607 0.515
Au 0.255 0.759 0.009

Record 4
Below is crystalline InTe2Au at its relaxed geometry, with properties calculated at the PBE level.

Computed properties:
Symmetry: Pnma, No. 62
Formation energy (no corrections) (eV/atom): -0.15
Total moment (μB/atom): 0.000

Lattice parameters (Å, degrees): 7.938 4.203 15.891 90.00 90.00 90.00
Positions (direct):
Te 0.754 0.250 0.500
Te 0.746 0.750 0.000
Te 0.246 0.750 0.500
Te 0.254 0.250 0.000
Te 0.588 0.250 0.737
Te 0.912 0.750 0.237
Te 0.412 0.750 0.263
Te 0.088 0.250 0.763
Au 0.160 0.250 0.253
Au 0.340 0.750 0.753
Au 0.840 0.750 0.747
Au 0.660 0.250 0.247
In 0.075 0.250 0.588
In 0.425 0.750 0.088
In 0.925 0.750 0.412
In 0.575 0.250 0.912